## BaTeW2 (GGA-PBE)

Data for a relaxed structure of BaTeW2.

Cell and atoms, written as POSCAR:
```
BaTeW2
1.0
5.5069 0.0009 0.0035
-2.7606 6.0487 0.0054
-0.0144 0.7025 2.8366
Ba W Te
1 2 1
direct
0.0000 0.5000 0.5000 Ba
0.5000 0.0000 0.5000 W
0.0000 0.0000 0.0000 W
0.5000 0.5000 0.0000 Te
```

E_form (uncorrected): 1.329 eV per atom
DOS at the Fermi energy: 0.96 states/eV per atom
calculated total energy: -6.413 eV/atom

## Pr2Mg2TcGe4 (GGA-PBE)

Data for a relaxed structure of Pr2Mg2TcGe4.

Cell and atoms, written as POSCAR:
```
Pr2Mg2TcGe4
1.0
6.4079 -0.2782 -0.4389
-2.8287 5.7565 0.4389
-2.8287 -2.0602 5.3931
Ge Pr Mg Tc
4 2 2 1
direct
0.5413 0.2707 0.2707 Ge
0.0000 0.2707 0.7293 Ge
0.4587 0.7293 0.7293 Ge
0.0000 0.7293 0.2707 Ge
0.5000 0.2500 0.7500 Pr
0.5000 0.7500 0.2500 Pr
0.0000 0.7031 0.7031 Mg
0.0000 0.2969 0.2969 Mg
0.0000 0.0000 0.0000 Tc
```

E_form: -36.5 kJ per mole of atoms
DOS at the Fermi energy: 0.71 states/eV per atom
calculated total energy: -4.999 eV/atom

## Ac6TcAu2 (GGA-PBE)

Data for a relaxed structure of Ac6TcAu2.

Cell and atoms, written as POSCAR:
```
Ac6TcAu2
1.0
7.3394 0.0000 0.1656
0.0000 8.0751 0.0000
0.6274 0.0000 11.1515
Ac Au Tc
12 4 2
direct
0.6813 0.1869 0.4378 Ac
0.1671 0.3130 0.5712 Ac
0.3329 0.8130 0.9288 Ac
0.8487 0.9582 0.7472 Ac
0.8329 0.6870 0.4288 Ac
0.1513 0.0418 0.2528 Ac
0.6513 0.4582 0.7528 Ac
0.8187 0.6869 0.0622 Ac
0.3487 0.5418 0.2472 Ac
0.3187 0.8131 0.5622 Ac
0.1813 0.3131 0.9378 Ac
0.6671 0.1870 0.0712 Ac
0.4424 0.1105 0.7298 Au
0.9424 0.3895 0.2298 Au
0.5576 0.8895 0.2702 Au
0.0576 0.6105 0.7702 Au
0.0000 0.0000 0.5000 Tc
0.5000 0.5000 0.0000 Tc
```

E_form: -31.5 kJ per mole of atoms
DOS at the Fermi energy: 0.98 states/eV per atom
calculated total energy: -4.946 eV/atom

## LaHo5Er (GGA-PBE)

Data for a relaxed structure of LaHo5Er.

Cell and atoms, written as POSCAR:
```
LaHo5Er
1.0
-1.7578 -4.8237 -2.6670
-2.9117 -5.2338 5.1103
-7.8541 -0.5276 -0.1440
Ho La Er
5 1 1
direct
0.5000 0.1792 0.8208 Ho
0.2538 0.7462 0.7462 Ho
0.7462 0.2538 0.2538 Ho
0.0000 0.5000 0.5000 Ho
0.5000 0.8208 0.1792 Ho
0.0000 0.0000 0.0000 La
0.5000 0.5000 0.5000 Er
```

polymorph energy (0 for the lowest one): 6.65 eV per formula unit
E_form: 108.5 kJ per mole of atoms
DOS at the Fermi energy: 1.32 states/eV per atom
calculated total energy: -3.501 eV/atom

## Pm2DyIn3Hg6 (GGA-PBE)

Data for a relaxed structure of Pm2DyIn3Hg6.

Cell and atoms, written as POSCAR:
```
Pm2DyIn3Hg6
1.0
4.2789 0.0000 0.0000
0.0000 4.2789 0.0000
0.0000 0.0000 20.3061
Pm In Dy Hg
2 3 1 6
direct
0.5000 0.5000 0.2185 Pm
0.5000 0.5000 0.7815 Pm
0.0000 0.0000 0.0000 In
0.0000 0.0000 0.2807 In
0.0000 0.0000 0.7193 In
0.5000 0.5000 0.5000 Dy
0.0000 0.5000 0.3883 Hg
0.5000 0.0000 0.6117 Hg
0.0000 0.0000 0.1374 Hg
0.0000 0.5000 0.6117 Hg
0.5000 0.0000 0.3883 Hg
0.0000 0.0000 0.8626 Hg
```

E_form: -8.1 kJ per mole of atoms
DOS at the Fermi energy: 0.70 states/eV per atom
calculated total energy: -2.094 eV/atom

## Ac14Tl6Co3 (GGA-PBE)

Data for a relaxed structure of Ac14Tl6Co3.

Cell and atoms, written as POSCAR:
```
Ac14Tl6Co3
1.0
7.4903 0.0000 0.0000
0.0000 9.9596 -5.7502
0.0000 0.0000 11.5004
Ac Tl Co
14 6 3
direct
0.2356 0.5391 0.4609 Ac
0.6887 0.4211 0.2106 Ac
0.9773 0.7561 0.8780 Ac
0.4955 0.2111 0.4222 Ac
0.4623 0.0000 0.0000 Ac
0.4955 0.5778 0.7889 Ac
0.6887 0.7894 0.5789 Ac
0.4955 0.2111 0.7889 Ac
0.6887 0.7894 0.2106 Ac
0.9773 0.1220 0.8781 Ac
0.2356 0.5391 0.0782 Ac
0.9844 0.3333 0.6667 Ac
0.9773 0.1219 0.2439 Ac
0.2356 0.9218 0.4609 Ac
0.2556 0.8540 0.1460 Tl
0.2556 0.2921 0.1461 Tl
0.7863 0.4821 0.9643 Tl
0.7863 0.0357 0.5179 Tl
0.2556 0.8540 0.7079 Tl
0.7863 0.4821 0.5179 Tl
0.4512 0.6667 0.3333 Co
0.8035 0.0000 0.0000 Co
0.3243 0.3333 0.6667 Co
```

E_form: -11.4 kJ per mole of atoms
DOS at the Fermi energy: 1.11 states/eV per atom
calculated total energy: -4.163 eV/atom

## Rb2LiAl3F12 (GGA-PBE)

Data for a relaxed structure of Rb2LiAl3F12.

Cell and atoms, written as POSCAR:
```
Rb2LiAl3F12
1.0
-6.6776 -1.5848 1.7406
-3.6689 -4.6903 -3.8303
-1.5730 -6.3562 2.6938
F Al Rb Li
12 3 2 1
direct
0.3525 0.9227 0.9227 F
0.0725 0.6931 0.6931 F
0.0773 0.0773 0.6475 F
0.9227 0.9227 0.3525 F
0.0773 0.6475 0.0773 F
0.6475 0.0773 0.0773 F
0.3069 0.9275 0.3069 F
0.6931 0.0725 0.6931 F
0.3069 0.3069 0.9275 F
0.9275 0.3069 0.3069 F
0.6931 0.6931 0.0725 F
0.9227 0.3525 0.9227 F
0.5000 0.0000 0.0000 Al
0.0000 0.0000 0.5000 Al
0.0000 0.5000 0.0000 Al
0.3702 0.3702 0.3702 Rb
0.6298 0.6298 0.6298 Rb
0.0000 0.0000 0.0000 Li
```

E_form (uncorrected): -3.376 eV per atom
DOS at the Fermi energy: 0.00 states/eV per atom
calculated total energy: -5.461 eV/atom

## LaTb6Pr3Ho2 (GGA-PBE)

Data for a relaxed structure of LaTb6Pr3Ho2.

Cell and atoms, written as POSCAR:
```
LaTb6Pr3Ho2
1.0
6.2577 -0.0002 0.0149
-3.1275 5.4201 0.0149
-1.0684 -1.8498 11.7579
Tb Pr Ho La
6 3 2 1
direct
0.5825 0.9171 0.7523 Tb
0.4175 0.0829 0.2477 Tb
0.2519 0.2519 0.7521 Tb
0.0829 0.4175 0.2477 Tb
0.7481 0.7481 0.2479 Tb
0.9171 0.5825 0.7523 Tb
0.8329 0.1671 0.5000 Pr
0.1671 0.8329 0.5000 Pr
0.5000 0.5000 0.5000 Pr
0.6667 0.3333 0.0000 Ho
0.3333 0.6667 0.0000 Ho
0.0000 0.0000 0.0000 La
```

E_form: 1.8 kJ per mole of atoms
DOS at the Fermi energy: 1.33 states/eV per atom
calculated total energy: -4.665 eV/atom

## Pr6Y2Th (GGA-PBE)

Data for a relaxed structure of Pr6Y2Th.

Cell and atoms, written as POSCAR:
```
Pr6Y2Th
1.0
3.6593 0.0000 0.0000
-1.8296 3.1690 0.0000
0.0000 0.0000 27.4482
Pr Y Th
6 2 1
direct
0.3333 0.6667 0.5663 Pr
0.3333 0.6667 0.2216 Pr
0.6667 0.3333 0.8921 Pr
0.3333 0.6667 0.7784 Pr
0.3333 0.6667 0.4337 Pr
0.6667 0.3333 0.1079 Pr
0.6667 0.3333 0.3294 Y
0.6667 0.3333 0.6706 Y
0.3333 0.6667 0.0000 Th
```

E_form: 5.7 kJ per mole of atoms
DOS at the Fermi energy: 1.67 states/eV per atom
calculated total energy: -5.388 eV/atom

## LiCeGdMg (GGA-PBE)

Data for a relaxed structure of LiCeGdMg.

Cell and atoms, written as POSCAR:
```
LiCeGdMg
1.0
-0.2106 5.3656 -0.3602
-4.7200 2.5446 0.4591
-1.0514 2.9515 4.3758
Li Ce Mg Gd
1 1 1 1
direct
0.7500 0.7500 0.7500 Li
0.0000 0.0000 0.0000 Ce
0.2500 0.2500 0.2500 Mg
0.5000 0.5000 0.5000 Gd
```

E_form: 11.5 kJ per mole of atoms
DOS at the Fermi energy: 2.18 states/eV per atom
calculated total energy: -5.761 eV/atom

## PmMgPt2 (GGA-PBE)

Data for a relaxed structure of PmMgPt2.

Cell and atoms, written as POSCAR:
```
PmMgPt2
1.0
-1.8604 2.9487 -0.2554
-1.2420 -0.3854 4.5973
3.8496 2.5372 1.2527
Pt Pm Mg
2 1 1
direct
0.0000 0.5000 0.0000 Pt
0.0000 0.0000 0.5000 Pt
0.5000 0.5000 0.5000 Pm
0.5000 0.0000 0.0000 Mg
```

E_form: -87.1 kJ per mole of atoms
DOS at the Fermi energy: 0.40 states/eV per atom
calculated total energy: -5.509 eV/atom

## Pa2Si3B (GGA-PBE)

Data for a relaxed structure of Pa2Si3B.

Cell and atoms, written as POSCAR:
```
Pa2Si3B
1.0
-0.3872 -4.0443 0.4428
3.7340 -0.3816 -0.2198
0.4569 0.6772 6.5851
B Si Pa
1 3 2
direct
0.5000 0.5000 0.3258 B
0.5000 0.0000 0.1913 Si
0.5000 0.5000 0.6362 Si
0.5000 0.0000 0.8401 Si
0.0000 0.5000 0.0095 Pa
0.0000 0.0000 0.4971 Pa
```

E_form (uncorrected): -0.502 eV per atom
DOS at the Fermi energy: 1.00 states/eV per atom
calculated total energy: -7.491 eV/atom

## Ho5ErHg4 (GGA-PBE)

Data for a relaxed structure of Ho5ErHg4.

Cell and atoms, written as POSCAR:
```
Ho5ErHg4
1.0
3.6522 0.0000 0.0000
0.0000 3.6522 0.0000
0.0000 0.0000 20.0653
Ho Er Hg
5 1 4
direct
0.5000 0.5000 0.1212 Ho
0.5000 0.5000 0.6882 Ho
0.5000 0.5000 0.8788 Ho
0.5000 0.5000 0.3118 Ho
0.5000 0.5000 0.5000 Ho
0.0000 0.0000 0.0000 Er
0.0000 0.0000 0.2150 Hg
0.0000 0.0000 0.7850 Hg
0.0000 0.0000 0.5947 Hg
0.0000 0.0000 0.4053 Hg
```

E_form: -35.6 kJ per mole of atoms
DOS at the Fermi energy: 1.11 states/eV per atom
calculated total energy: -3.235 eV/atom

## LaPuClO4 (GGA-PBE)

Data for a relaxed structure of LaPuClO4.

Cell and atoms, written as POSCAR:
```
LaPuClO4
1.0
-6.9755 -0.1056 -2.2150
-5.1647 -3.8262 3.5016
-0.6282 5.2984 3.6473
O La Cl Pu
8 2 2 2
direct
0.1112 0.4891 0.1882 O
0.8888 0.5109 0.8118 O
0.7444 0.7444 0.4379 O
0.2556 0.2556 0.5621 O
0.5109 0.8888 0.8118 O
0.5040 0.5040 0.7054 O
0.4960 0.4960 0.2946 O
0.4891 0.1112 0.1882 O
0.8184 0.8184 0.0562 La
0.1816 0.1816 0.9438 La
0.0374 0.0374 0.2573 Cl
0.9626 0.9626 0.7427 Cl
0.3681 0.3681 0.4091 Pu
0.6319 0.6319 0.5909 Pu
```

E_form (uncorrected): -2.589 eV per atom
DOS at the Fermi energy: 0.80 states/eV per atom
calculated total energy: -8.438 eV/atom

## NdGdRh (GGA-PBE)

Data for a relaxed structure of NdGdRh.

Cell and atoms, written as POSCAR:
```
NdGdRh
1.0
3.5362 0.0000 0.0000
0.0000 3.5362 0.0000
-1.7681 -1.7681 6.4390
Rh Gd Nd
1 1 1
direct
0.6709 0.6709 0.3418 Rh
0.2937 0.2937 0.5874 Gd
0.0354 0.0354 0.0708 Nd
```

polymorph energy (0 for the lowest one): 0.08 eV per formula unit
E_form: -44.9 kJ per mole of atoms
DOS at the Fermi energy: 1.09 states/eV per atom
calculated total energy: -9.198 eV/atom

## ZrZn4Cr (GGA-PBE)

Data for a relaxed structure of ZrZn4Cr.

Cell and atoms, written as POSCAR:
```
ZrZn4Cr
1.0
-1.2018 -3.6052 -3.3655
-4.4709 0.1561 -2.3991
-0.1869 1.1094 -4.9500
Zn Cr Zr
4 1 1
direct
0.6255 0.6255 0.6255 Zn
0.1236 0.6255 0.6255 Zn
0.6255 0.1236 0.6255 Zn
0.6255 0.6255 0.1236 Zn
0.0000 0.0000 0.0000 Cr
0.2500 0.2500 0.2500 Zr
```

E_form: -8.1 kJ per mole of atoms
DOS at the Fermi energy: 0.77 states/eV per atom
calculated total energy: -3.962 eV/atom

## PmYS3 (GGA-PBE)

Data for a relaxed structure of PmYS3.

Cell and atoms, written as POSCAR:
```
PmYS3
1.0
3.9724 0.0000 0.0000
0.0000 7.3943 0.0000
0.0000 0.0000 15.3710
S Y Pm
12 4 4
direct
0.2500 0.8754 0.9361 S
0.7500 0.6246 0.4361 S
0.2500 0.1486 0.7835 S
0.7500 0.3514 0.2835 S
0.2500 0.5110 0.1063 S
0.2500 0.6486 0.7165 S
0.2500 0.0110 0.3937 S
0.7500 0.8514 0.2165 S
0.7500 0.4890 0.8937 S
0.7500 0.1246 0.0639 S
0.7500 0.9890 0.6063 S
0.2500 0.3754 0.5639 S
0.2500 0.2685 0.9567 Y
0.2500 0.7685 0.5433 Y
0.7500 0.2315 0.4567 Y
0.7500 0.7315 0.0433 Y
0.2500 0.6432 0.2979 Pm
0.2500 0.1432 0.2021 Pm
0.7500 0.8568 0.7979 Pm
0.7500 0.3568 0.7021 Pm
```

E_form (uncorrected): -2.084 eV per atom
polymorph energy (0 for the lowest one): 0.00 eV per formula unit
calculated total energy: -6.803 eV/atom

## LiY2PuSe4 (GGA-PBE)

Data for a relaxed structure of LiY2PuSe4.

Cell and atoms, written as POSCAR:
```
LiY2PuSe4
1.0
-2.2915 -3.3298 -0.5930
1.3650 0.2957 -6.9347
4.9205 -3.9618 3.2319
Se Y Pu Li
4 2 1 1
direct
0.5000 0.2429 0.2482 Se
0.0000 0.2441 0.7501 Se
0.5000 0.7571 0.7518 Se
0.0000 0.7559 0.2499 Se
0.0000 0.5000 0.5000 Y
0.5000 0.0000 0.5000 Y
0.5000 0.5000 0.0000 Pu
0.0000 0.0000 0.0000 Li
```

E_form (uncorrected): -1.677 eV per atom
DOS at the Fermi energy: 1.55 states/eV per atom
calculated total energy: -7.066 eV/atom

## Sc5NbC4 (GGA-PBE)

Data for a relaxed structure of Sc5NbC4.

Cell and atoms, written as POSCAR:
```
Sc5NbC4
1.0
3.1920 0.0000 -0.6980
-0.2743 6.4607 -1.2544
-0.0673 -0.2543 7.3395
Sc Nb C
5 1 4
direct
0.8334 0.1476 0.6669 Sc
0.8399 0.6852 0.6797 Sc
0.5000 0.5000 0.0000 Sc
0.1666 0.8524 0.3331 Sc
0.1601 0.3148 0.3203 Sc
0.5000 0.0000 0.0000 Nb
0.9993 0.2458 0.9986 C
0.0007 0.7542 0.0014 C
0.6647 0.0872 0.3294 C
0.3353 0.9128 0.6706 C
```

E_form: -50.4 kJ per mole of atoms
DOS at the Fermi energy: 0.43 states/eV per atom
calculated total energy: -8.385 eV/atom

## BaMgAg2 (GGA-PBE)

Data for a relaxed structure of BaMgAg2.

Cell and atoms, written as POSCAR:
```
BaMgAg2
1.0
-0.8280 -2.9935 -2.0960
0.0762 -2.1628 3.0588
-7.4704 1.2950 1.1017
Ba Ag Mg
1 2 1
direct
0.0000 0.0000 0.4776 Ba
0.5000 0.5000 0.1881 Ag
0.0000 0.0000 0.0041 Ag
0.5000 0.5000 0.8302 Mg
```

E_form: -7.7 kJ per mole of atoms
DOS at the Fermi energy: 0.44 states/eV per atom
calculated total energy: -2.385 eV/atom